Material: Sm2Ho5Tm
Method: DFT, GGA-PBE
State: optimized geometry

The space group is Pbam (No. 55) and the conventional cell measures 7.091, 14.183 and 5.006 Å, with angles of 90.00, 90.00 and 90.00 degrees. Symmetry generates all atoms from Sm at (0.250, 0.125, 0.000), Ho at (0.000, 0.000, 0.500), Ho at (0.001, 0.250, 0.500), Ho at (0.249, 0.875, 0.000) and Tm at (0.000, 0.500, 0.500).

For the electronic total energy, the calculation gives -4.58 eV/atom. The energy of formation from the pure elements comes out at 0.02 eV/atom. Its size of the total moment is 0.00 μB/f.u.



Material: Tb4TmTh
Method: DFT, GGA-PBE
State: optimized geometry

The space group is Cmmm (No. 65) and the conventional cell measures 11.552, 11.803 and 3.402 Å, with angles of 90.00, 90.00 and 90.00 degrees. Symmetry generates all atoms from Tb at (0.000, 0.231, 0.000), Tb at (0.239, 0.500, 0.500), Tm at (0.000, 0.000, 0.500) and Th at (0.000, 0.500, 0.000).

For the electronic total energy, the calculation gives -4.35 eV/atom. The energy of formation from the pure elements comes out at 0.72 eV/atom. Its size of the total moment is 0.00 μB/f.u.



Material: Ti2Co2Sb
Method: DFT, GGA-PBE
State: optimized geometry

The space group is P4/mbm (No. 127) and the conventional cell measures 6.940, 6.940 and 3.066 Å, with angles of 90.00, 90.00 and 90.00 degrees. Symmetry generates all atoms from Ti at (0.162, 0.338, 0.000), Co at (0.129, 0.629, 0.500) and Sb at (0.000, 0.000, 0.500).

For the electronic total energy, the calculation gives -7.18 eV/atom. The formation energy (no corrections) comes out at -0.360 eV per atom. Its size of the total moment is 0.39 μB/f.u.



Material: Sr2InAg
Method: DFT, GGA-PBE
State: optimized geometry

The space group is I-42d (No. 122) and the conventional cell measures 8.858, 8.858 and 7.457 Å, with angles of 90.00, 90.00 and 90.00 degrees. Symmetry generates all atoms from Sr at (0.225, 0.250, 0.125), In at (0.000, 0.000, 0.500) and Ag at (0.000, 0.000, 0.000).

For the electronic total energy, the calculation gives -2.29 eV/atom. The energy of formation from the pure elements comes out at -0.05 eV/atom. Its size of the total moment is 0.00 μB/f.u.